Entry 1:
A relaxed La4Sb2SeN2 crystal, computed with PBE.

The uncorrected formation energy is -1.42 eV/atom. The total energy comes out at -6.766 eV per atom. As for the crystal system: monoclinic.

The space group is C2/m (No. 12) and the conventional cell measures 16.3505, 4.3179 and 8.8040 Å, with angles of 90.00, 119.82 and 90.00 degrees. The asymmetric unit holds La at (0.0228, 0.0000, 0.2745), La at (0.2259, 0.5000, 0.6379), Sb at (0.0998, 0.5000, 0.0623), Se at (0.0000, 0.5000, 0.5000) and N at (0.1765, 0.0000, 0.4840).

Entry 2:
A relaxed ScTaSe2 crystal, computed with PBE.

The uncorrected formation energy is -0.56 eV/atom. The total energy comes out at -6.850 eV per atom. The value obtained for the relative energy among the computed polymorphs is 1.36 eV/f.u. As for the crystal system: trigonal.

The space group is R3m (No. 160, hexagonal axes) and the conventional cell measures 3.4864, 3.4864 and 26.4651 Å, with angles of 90.00, 90.00 and 120.00 degrees. The asymmetric unit holds Sc at (0.0000, 0.0000, 0.0000), Ta at (0.0000, 0.0000, 0.7635), Se at (0.0000, 0.0000, 0.2729) and Se at (0.0000, 0.0000, 0.4906).

| no. | V (Å³/cell) |
| --- | --- |
| 1 | 539 |
| 2 | 279 |